Record 1
Below is TbPrPdRu after structural relaxation, with properties calculated at the PBE level.

Cell lengths 7.061, 7.061, 7.061 Å; angles 90.00, 90.00, 90.00 degrees
Positions (direct):
Tb: 0.000 0.000 0.000
Tb: 0.000 0.500 0.500
Tb: 0.500 0.000 0.500
Tb: 0.500 0.500 0.000
Pr: 0.000 0.000 0.500
Pr: 0.000 0.500 0.000
Pr: 0.500 0.000 0.000
Pr: 0.500 0.500 0.500
Pd: 0.250 0.250 0.250
Pd: 0.250 0.750 0.750
Pd: 0.750 0.250 0.750
Pd: 0.750 0.750 0.250
Ru: 0.250 0.250 0.750
Ru: 0.250 0.750 0.250
Ru: 0.750 0.250 0.250
Ru: 0.750 0.750 0.750

- E_form: -0.488 eV/atom

***

Record 2
Below is PrTmPdRu after structural relaxation, with properties calculated at the PBE level.

Cell lengths 7.002, 7.002, 7.002 Å; angles 90.00, 90.00, 90.00 degrees
Positions (direct):
Pr: 0.000 0.000 0.000
Pr: 0.000 0.500 0.500
Pr: 0.500 0.000 0.500
Pr: 0.500 0.500 0.000
Tm: 0.000 0.000 0.500
Tm: 0.000 0.500 0.000
Tm: 0.500 0.000 0.000
Tm: 0.500 0.500 0.500
Pd: 0.250 0.250 0.750
Pd: 0.250 0.750 0.250
Pd: 0.750 0.250 0.250
Pd: 0.750 0.750 0.750
Ru: 0.250 0.250 0.250
Ru: 0.250 0.750 0.750
Ru: 0.750 0.250 0.750
Ru: 0.750 0.750 0.250

- E_form: -0.524 eV/atom

***

Record 3
Below is PrYPdRu after structural relaxation, with properties calculated at the PBE level.

Cell lengths 7.057, 7.057, 7.057 Å; angles 90.00, 90.00, 90.00 degrees
Positions (direct):
Pr: 0.000 0.000 0.000
Pr: 0.000 0.500 0.500
Pr: 0.500 0.000 0.500
Pr: 0.500 0.500 0.000
Y: 0.000 0.000 0.500
Y: 0.000 0.500 0.000
Y: 0.500 0.000 0.000
Y: 0.500 0.500 0.500
Pd: 0.250 0.250 0.250
Pd: 0.250 0.750 0.750
Pd: 0.750 0.250 0.750
Pd: 0.750 0.750 0.250
Ru: 0.250 0.250 0.750
Ru: 0.250 0.750 0.250
Ru: 0.750 0.250 0.250
Ru: 0.750 0.750 0.750

- E_form: -0.488 eV/atom

***

For the records above, the corresponding M_tot values read 0.0 0.0 0.0 μB/f.u..
For the records above, the corresponding density of states at the Fermi level values read 0.8166 0.6722 0.7573 states/eV per atom.